Record 1
Compound: Hf3CN
Source: Alexandria via LeMat-Bulk
Functional: PBE
Structure: relaxed

Summary:
Fermi-level density of states in states/eV/cell: 4.44
Mass density in kg/m3: 11868
Formation energy from raw total energies in eV/atom: 0.31
V in Å³/atom: 15.71
Total magnetization in μB/f.u.: 0.00
SG: Pm-3m (221)
Crystal system: cubic
Uncorrected energy in eV per cell: -45.84

abc: 4.283 4.283 4.283
angles: 90.00 90.00 90.00
Atoms (fractional coordinates):
C 0.500 0.500 0.500
Hf 0.000 0.500 0.000
Hf 0.000 0.000 0.500
Hf 0.500 0.000 0.000
N 0.000 0.000 0.000

Record 2
Compound: Li2GaPd2
Source: Alexandria via LeMat-Bulk
Functional: PBE
Structure: relaxed

Summary:
Fermi-level density of states in states/eV/cell: 1.62
Mass density in kg/m3: 6771
V in Å³/atom: 14.54
Total magnetization in μB/f.u.: 0.00
SG: I4/mmm (139)
Crystal system: tetragonal
Uncorrected energy in eV per cell: -18.53

abc: 3.214 3.214 7.398
angles: 77.45 77.45 90.00
Atoms (fractional coordinates):
Ga 0.000 0.000 0.000
Pd 0.399 0.399 0.201
Pd 0.601 0.601 0.799
Li 0.750 0.250 0.500
Li 0.250 0.750 0.500

Record 3
Compound: NiRu2Pt2
Source: Alexandria via LeMat-Bulk
Functional: PBE
Structure: relaxed

Summary:
Fermi-level density of states in states/eV/cell: 4.74
Mass density in kg/m3: 13283
V in Å³/atom: 16.28
Total magnetization in μB/f.u.: 0.00
SG: I4/mmm (139)
Crystal system: tetragonal
Uncorrected energy in eV per cell: -33.60

abc: 3.654 3.654 6.621
angles: 73.98 73.98 90.00
Atoms (fractional coordinates):
Ru 0.406 0.406 0.187
Ru 0.594 0.594 0.813
Pt 0.750 0.250 0.500
Pt 0.250 0.750 0.500
Ni 0.000 0.000 0.000

Record 4
Compound: TbYTlNi
Source: Alexandria via LeMat-Bulk
Functional: PBE
Structure: relaxed

Summary:
Fermi-level density of states in states/eV/cell: 3.94
Mass density in kg/m3: 8877
V in Å³/atom: 23.89
Total magnetization in μB/f.u.: 0.00
SG: F-43m (216)
Crystal system: cubic
Uncorrected energy in eV per cell: -20.26

abc: 5.132 5.132 5.132
angles: 60.00 60.00 60.00
Atoms (fractional coordinates):
Y 0.750 0.750 0.750
Ni 0.000 0.000 0.000
Tl 0.500 0.500 0.500
Tb 0.250 0.250 0.250

Record 5
Compound: ScTeRu2
Source: Alexandria via LeMat-Bulk
Functional: PBE
Structure: relaxed

Summary:
Fermi-level density of states in states/eV/cell: 3.89
Mass density in kg/m3: 8588
Formation energy from raw total energies in eV/atom: 0.00
V in Å³/atom: 18.11
Total magnetization in μB/f.u.: 0.00
SG: P4mm (99)
Crystal system: tetragonal
Uncorrected energy in eV per cell: -28.03

abc: 3.131 3.131 7.390
angles: 90.00 90.00 89.96
Atoms (fractional coordinates):
Ru 0.000 0.000 0.020
Ru 0.500 0.500 0.233
Sc 0.000 0.000 0.465
Te 0.500 0.500 0.781

Record 6
Compound: Ba4Sr3Ca3
Source: Alexandria via LeMat-Bulk
Functional: PBE
Structure: relaxed

Summary:
Fermi-level density of states in states/eV/cell: 18.93
Mass density in kg/m3: 2822
V in Å³/atom: 54.87
Total magnetization in μB/f.u.: 0.00
SG: Amm2 (38)
Crystal system: orthorhombic
Uncorrected energy in eV per cell: -17.51

abc: 4.368 11.208 11.208
angles: 90.94 90.00 90.00
Atoms (fractional coordinates):
Ba 0.000 0.630 0.370
Ba 0.000 0.381 0.619
Ba 0.000 0.861 0.879
Ba 0.000 0.121 0.139
Sr 0.000 0.497 0.003
Sr 0.000 0.997 0.503
Sr 0.500 0.170 0.830
Ca 0.500 0.827 0.173
Ca 0.500 0.340 0.323
Ca 0.500 0.677 0.660